RbMg2Pb3, optimized geometry, DFT PBE-GGA; SG = No. 191; M_tot = 0.00 μB per cell; energy above the lowest structure with this stoichiometry = 0 meV per atom; VASP energy = -2.653 eV per atom
1.0
6.9728 0.0000 0.0000
-3.4864 6.0386 0.0000
0.0000 0.0000 4.6588
Rb Mg Pb
1 2 3
Direct
0.0000 0.0000 0.0000 Rb
0.3333 0.6667 0.0000 Mg
0.6667 0.3333 0.0000 Mg
0.0000 0.5000 0.5000 Pb
0.5000 0.0000 0.5000 Pb
0.5000 0.5000 0.5000 Pb

***

Rb2MgPb6, optimized geometry, DFT PBE-GGA; SG = No. 12; M_tot = 0.00 μB per cell; VASP energy = -2.946 eV per atom
1.0
6.6398 -3.5605 0.0000
6.6398 3.5605 0.0000
-2.4495 0.0000 7.0502
Rb Mg Pb
2 1 6
Direct
0.1459 0.1459 0.3537 Rb
0.8541 0.8541 0.6463 Rb
0.5000 0.5000 0.5000 Mg
0.1196 0.6152 0.1590 Pb
0.3848 0.8804 0.8410 Pb
0.3916 0.3916 0.8261 Pb
0.6084 0.6084 0.1739 Pb
0.6152 0.1196 0.1590 Pb
0.8804 0.3848 0.8410 Pb

***

Rb3MgPb, optimized geometry, DFT PBE-GGA; SG = No. 12; M_tot = 0.00 μB per cell; energy above the lowest structure with this stoichiometry = 0 meV per atom; VASP energy = -1.590 eV per atom
1.0
6.3558 -5.6704 0.0000
6.3558 5.6704 0.0000
-5.6018 0.0000 7.8442
Rb Mg Pb
6 2 2
Direct
0.0151 0.0151 0.2459 Rb
0.0869 0.4866 0.7615 Rb
0.4866 0.0869 0.7615 Rb
0.5134 0.9131 0.2385 Rb
0.9131 0.5134 0.2385 Rb
0.9849 0.9849 0.7541 Rb
0.3553 0.3553 0.1764 Mg
0.6447 0.6447 0.8236 Mg
0.3784 0.3784 0.5118 Pb
0.6216 0.6216 0.4882 Pb

***

RbMgPb3, optimized geometry, DFT PBE-GGA; SG = No. 194; M_tot = 0.00 μB per cell; energy above the lowest structure with this stoichiometry = 84 meV per atom; VASP energy = -2.744 eV per atom
1.0
7.7344 0.0000 0.0000
-3.8672 6.6982 0.0000
0.0000 0.0000 6.6135
Rb Mg Pb
2 2 6
Direct
0.3333 0.6667 0.2500 Rb
0.6667 0.3333 0.7500 Rb
0.0000 0.0000 0.0000 Mg
0.0000 0.0000 0.5000 Mg
0.1921 0.3841 0.7500 Pb
0.1921 0.8079 0.7500 Pb
0.3841 0.1921 0.2500 Pb
0.6159 0.8079 0.7500 Pb
0.8079 0.1921 0.2500 Pb
0.8079 0.6159 0.2500 Pb

***

RbMg4Pb5, optimized geometry, DFT PBE-GGA; SG = No. 123; M_tot = 0.00 μB per cell; VASP energy = -2.661 eV per atom
1.0
3.8506 0.0000 0.0000
0.0000 3.8506 0.0000
0.0000 0.0000 19.5565
Rb Mg Pb
1 4 5
Direct
0.0000 0.0000 0.0000 Rb
0.0000 0.0000 0.2248 Mg
0.0000 0.0000 0.4087 Mg
0.0000 0.0000 0.5913 Mg
0.0000 0.0000 0.7752 Mg
0.5000 0.5000 0.1426 Pb
0.5000 0.5000 0.3173 Pb
0.5000 0.5000 0.5000 Pb
0.5000 0.5000 0.6827 Pb
0.5000 0.5000 0.8574 Pb

***

Rb3Mg2Pb2, optimized geometry, DFT PBE-GGA; SG = No. 57; M_tot = 3.25 μB per cell; VASP energy = -1.986 eV per atom
1.0
7.5573 0.0000 0.0000
0.0000 9.6446 0.0000
0.0000 0.0000 16.1662
Rb Mg Pb
12 8 8
Direct
0.1078 0.1179 0.1044 Rb
0.1078 0.1179 0.3956 Rb
0.1078 0.3821 0.6044 Rb
0.1078 0.3821 0.8956 Rb
0.3159 0.7186 0.7500 Rb
0.3159 0.7814 0.2500 Rb
0.6841 0.2186 0.7500 Rb
0.6841 0.2814 0.2500 Rb
0.8922 0.6179 0.1044 Rb
0.8922 0.6179 0.3956 Rb
0.8922 0.8821 0.6044 Rb
0.8922 0.8821 0.8956 Rb
0.3983 0.0265 0.5911 Mg
0.3983 0.0265 0.9089 Mg
0.3983 0.4735 0.0911 Mg
0.3983 0.4735 0.4089 Mg
0.6017 0.5265 0.5911 Mg
0.6017 0.5265 0.9089 Mg
0.6017 0.9735 0.0911 Mg
0.6017 0.9735 0.4089 Mg
0.2067 0.0867 0.7500 Pb
0.2067 0.4133 0.2500 Pb
0.3935 0.7500 0.0000 Pb
0.3935 0.7500 0.5000 Pb
0.6065 0.2500 0.0000 Pb
0.6065 0.2500 0.5000 Pb
0.7933 0.5867 0.7500 Pb
0.7933 0.9133 0.2500 Pb

***

no.,V (Å³/f.u.)
1,196.2
2,333.3
3,282.7
4,171.3
5,290.0
6,294.6